(1)
NdHoMgBi after structural relaxation, computed with PBE-GGA.

Output
Energy, eV/cell: -16.10
Calculated volume, Å³ per cell: 116
ρ, g/cm3: 7.7
Energy of formation from the pure elements, meV per atom: -318.9
SG: F-43m, No. 216

Lattice parameters (Å, degrees): 5.4783 5.4783 5.4783 60.00 60.00 60.00
With the nearest neighbours (Å) after each atom.
Atoms (fractional coordinates):
Bi 0.2500 0.2500 0.2500  4 Ho 3.35, 4 Nd 3.35
Ho 0.5000 0.5000 0.5000  4 Mg 3.35, 4 Bi 3.35
Nd 0.0000 0.0000 0.0000  4 Mg 3.35, 4 Bi 3.35
Mg 0.7500 0.7500 0.7500  4 Ho 3.35, 4 Nd 3.35



(2)
InHgSbTe2 after structural relaxation, computed with PBE-GGA.

Output
Energy, eV/cell: -11.06
Uncorrected formation energy, eV/atom: 0.48
Calculated volume, Å³ per cell: 184
Distance to the lowest polymorph of the same formula, meV per atom: 0
ρ, g/cm3: 6.3
SG: P4/mmm, No. 123

Lattice parameters (Å, degrees): 5.7771 5.7771 5.5046 90.00 90.00 90.00
With the nearest neighbours (Å) after each atom.
Atoms (fractional coordinates):
Hg 0.0000 0.0000 0.0000  2 Sb 2.75, 4 Te 2.89
Sb 0.0000 0.0000 0.5000  2 Hg 2.75
Te 0.5000 0.0000 0.0000  2 Hg 2.89
Te 0.0000 0.5000 0.0000  2 Hg 2.89
In 0.5000 0.5000 0.5000  8 Te 3.99, 4 Sb 4.09



(3)
BaNdMnSe4 after structural relaxation, computed with PBE-GGA.

Output
Energy, eV/cell: -79.28
Uncorrected formation energy, eV/atom: -1.41
Calculated volume, Å³ per cell: 395
ρ, g/cm3: 5.5
SG: P2_1/m, No. 11

Lattice parameters (Å, degrees): 7.0419 6.5266 9.0168 90.00 107.60 90.00
With the nearest neighbours (Å) after each atom.
Atoms (fractional coordinates):
Se 0.9854 0.4891 0.2730  1 Mn 2.38
Se 0.5787 0.2500 0.8636  1 Mn 2.42
Se 0.5767 0.2500 0.4096  1 Mn 2.39
Se 0.4213 0.7500 0.1364  1 Mn 2.42
Se 0.4233 0.7500 0.5904  1 Mn 2.39
Se 0.9854 0.0109 0.2730  1 Mn 2.38
Se 0.0146 0.5109 0.7270  1 Mn 2.38
Se 0.0146 0.9891 0.7270  1 Mn 2.38
Nd 0.2467 0.2500 0.5579  6 Se 3.01-3.09
Nd 0.7533 0.7500 0.4421  6 Se 3.01-3.09
Mn 0.2335 0.7500 0.3209  4 Se 2.38-2.42
Mn 0.7665 0.2500 0.6791  4 Se 2.38-2.42
Ba 0.7404 0.7500 0.9376  8 Se 3.25-3.46
Ba 0.2596 0.2500 0.0624  8 Se 3.25-3.46



(4)
Cs2BaWS after structural relaxation, computed with PBE-GGA.

Output
Energy, eV/cell: -17.25
Uncorrected formation energy, eV/atom: 0.69
Calculated volume, Å³ per cell: 239
ρ, g/cm3: 4.3
SG: P4/mmm, No. 123

Lattice parameters (Å, degrees): 7.2616 4.5361 7.2616 90.00 90.00 90.00
With the nearest neighbours (Å) after each atom.
Atoms (fractional coordinates):
Ba 0.5000 0.5000 0.5000  8 Cs 4.28, 2 Ba 4.54
S 0.0000 0.5000 0.0000  2 W 2.27
Cs 0.0000 0.0000 0.5000  2 W 3.63
Cs 0.5000 0.0000 0.0000  2 W 3.63
W 0.0000 0.0000 0.0000  2 S 2.27



(5)
Tb2AgOs after structural relaxation, computed with PBE-GGA.

Output
Energy, eV/cell: -24.52
Calculated volume, Å³ per cell: 89
ρ, g/cm3: 11.4
Energy of formation from the pure elements, meV per atom: -295.7
SG: P4/mmm, No. 123

Lattice parameters (Å, degrees): 3.4201 3.4201 7.6380 90.00 90.00 90.00
With the nearest neighbours (Å) after each atom.
Atoms (fractional coordinates):
Tb 0.0000 0.0000 0.2208  4 Os 2.95, 4 Ag 3.22
Tb 0.0000 0.0000 0.7792  4 Os 2.95, 4 Ag 3.22
Ag 0.5000 0.5000 0.5000  8 Tb 3.22, 4 Ag 3.42
Os 0.5000 0.5000 0.0000  8 Tb 2.95



(6)
PdAuBrCl2 after structural relaxation, computed with PBE-GGA.

Output
Energy, eV/cell: -13.07
Uncorrected formation energy, eV/atom: 0.15
Calculated volume, Å³ per cell: 122
ρ, g/cm3: 6.2
SG: P4/mmm, No. 123

Lattice parameters (Å, degrees): 4.6137 5.7502 4.6137 90.00 90.00 90.00
With the nearest neighbours (Å) after each atom.
Atoms (fractional coordinates):
Au 0.0000 0.5000 0.0000  2 Pd 2.88
Cl 0.5000 0.0000 0.0000  2 Pd 2.31
Cl 0.0000 0.0000 0.5000  2 Pd 2.31
Pd 0.0000 0.0000 0.0000  4 Cl 2.31
Br 0.5000 0.5000 0.5000  4 Au 3.26



(7)
Gd2PuSc after structural relaxation, computed with PBE-GGA.

Output
Energy, eV/cell: -48.12
Calculated volume, Å³ per cell: 117
Distance to the lowest polymorph of the same formula, meV per atom: 45
ρ, g/cm3: 8.6
Energy of formation from the pure elements, meV per atom: 175.9
SG: Fm-3m, No. 225

Lattice parameters (Å, degrees): 5.4827 5.4827 5.4827 60.00 60.00 60.00
With the nearest neighbours (Å) after each atom.
Atoms (fractional coordinates):
Pu 0.0000 0.0000 0.0000  8 Gd 3.36
Sc 0.5000 0.5000 0.5000  8 Gd 3.36
Gd 0.7500 0.7500 0.7500  4 Sc 3.36, 4 Pu 3.36
Gd 0.2500 0.2500 0.2500  4 Sc 3.36, 4 Pu 3.36



(8)
Rb5HgI4 after structural relaxation, computed with PBE-GGA.

Output
Energy, eV/cell: -23.23
Uncorrected formation energy, eV/atom: -1.19
Calculated volume, Å³ per cell: 529
ρ, g/cm3: 3.6
SG: I4/mmm, No. 139

Lattice parameters (Å, degrees): 5.2923 5.2923 19.2660 97.89 97.89 90.00
With the nearest neighbours (Å) after each atom.
Atoms (fractional coordinates):
Rb 0.1024 0.1024 0.2048  5 I 3.72-3.74, 1 Hg 3.87
Rb 0.7004 0.7004 0.4007  6 I 3.74-3.75
Rb 0.8976 0.8976 0.7952  5 I 3.72-3.74, 1 Hg 3.87
Rb 0.2996 0.2996 0.5993  6 I 3.74-3.75
Rb 0.5000 0.5000 0.0000  4 Hg 3.74, 2 I 3.82
I 0.3988 0.3988 0.7976  6 Rb 3.74-3.82
I 0.7993 0.7993 0.5986  6 Rb 3.72-3.74
I 0.2007 0.2007 0.4014  6 Rb 3.72-3.74
I 0.6012 0.6012 0.2024  6 Rb 3.74-3.82
Hg 0.0000 0.0000 0.0000  6 Rb 3.74-3.87